Computed, not measured: BeFeIN2 after structural relaxation at the PBE level of DFT. Values from VASP.

Output
ΔE to the lowest computed polymorph = 413 meV/atom
Formation energy from raw total energies = 7.1 eV/f.u.
SG = No. 123

The structure in Quantum ESPRESSO input format:
```
&SYSTEM
  ibrav = 0, nat = 5, ntyp = 4
/
ATOMIC_SPECIES
I 126.90 I.upf
Be 9.01 Be.upf
Fe 55.84 Fe.upf
N 14.01 N.upf
CELL_PARAMETERS angstrom
-0.673 2.178 -2.773
-2.654 -2.171 -1.062
-3.834 3.056 3.331
ATOMIC_POSITIONS crystal
I 0.000 0.000 0.500
Be 0.000 0.000 0.000
Fe 0.500 0.500 0.500
N 0.000 0.500 0.000
N 0.500 0.000 0.000
```